Entry i
DFT (PBE) results for PmIn2Pt after structural relaxation.

Cell lengths 5.843, 5.843, 7.567 Å; angles 90.00, 90.00, 134.27 degrees
Fractional positions:
1 Pm 0.075 0.925 0.750
2 Pm 0.925 0.075 0.250
3 In 0.362 0.638 0.550
4 In 0.362 0.638 0.950
5 In 0.638 0.362 0.050
6 In 0.638 0.362 0.450
7 Pt 0.211 0.789 0.250
8 Pt 0.789 0.211 0.750

---

Entry ii
DFT (PBE) results for PmIn2Pt after structural relaxation.

Cell lengths 16.838, 7.637, 5.793 Å; angles 90.00, 90.00, 90.00 degrees
Fractional positions:
1 Pm 0.106 0.250 0.233
2 Pm 0.145 0.750 0.470
3 Pm 0.355 0.250 0.970
4 Pm 0.394 0.750 0.733
5 Pm 0.606 0.250 0.267
6 Pm 0.645 0.750 0.030
7 Pm 0.855 0.250 0.530
8 Pm 0.894 0.750 0.767
9 In 0.033 0.048 0.737
10 In 0.033 0.452 0.737
11 In 0.215 0.551 0.973
12 In 0.215 0.949 0.973
13 In 0.285 0.051 0.473
14 In 0.285 0.449 0.473
15 In 0.467 0.548 0.237
16 In 0.467 0.952 0.237
17 In 0.533 0.048 0.763
18 In 0.533 0.452 0.763
19 In 0.715 0.551 0.527
20 In 0.715 0.949 0.527
21 In 0.785 0.051 0.027
22 In 0.785 0.449 0.027
23 In 0.967 0.548 0.263
24 In 0.967 0.952 0.263
25 Pt 0.073 0.750 0.987
26 Pt 0.172 0.250 0.730
27 Pt 0.328 0.750 0.230
28 Pt 0.427 0.250 0.487
29 Pt 0.573 0.750 0.513
30 Pt 0.672 0.250 0.770
31 Pt 0.828 0.750 0.270
32 Pt 0.927 0.250 0.013

---

Least stable of them? entry ii.